CsBiI6, optimized geometry, DFT GGA-PBE; raw formation energy = -0.448 eV/atom; size of the total moment = 0.000 μB per formula unit; raw total energy = -2.20 eV/atom
1.0
-6.557 -1.314 3.107
3.589 -5.017 4.039
1.650 5.640 4.454
Cs Bi I
1 1 6
Cartesian
0.000 0.000 0.000 Cs
-0.659 -0.346 5.800 Bi
1.120 -2.085 3.944 I
0.369 2.043 4.105 I
-2.438 1.394 7.656 I
1.492 -0.040 8.017 I
-1.686 -2.734 7.496 I
-2.810 -0.651 3.583 I

=====

CsBi3I, optimized geometry, DFT GGA-PBE; raw formation energy = 0.463 eV/atom; size of the total moment = 0.000 μB per formula unit; raw total energy = -2.35 eV/atom; polymorph energy (0 for the lowest one) = 0 kJ/mol of formula units
1.0
-3.784 -3.714 -3.160
3.447 -4.866 1.591
-3.448 -0.790 5.058
Cs I Bi
1 1 3
Cartesian
-1.892 -4.685 1.744 Cs
0.000 0.000 0.000 I
1.724 -2.433 0.795 Bi
-1.724 -0.395 2.529 Bi
-1.892 -1.857 -1.580 Bi

=====

CsBi2I8, optimized geometry, DFT GGA-PBE; raw formation energy = -0.529 eV/atom; size of the total moment = 0.000 μB per formula unit; raw total energy = -2.44 eV/atom
1.0
-4.714 1.136 -3.953
4.708 -4.639 -6.930
-5.896 -5.060 5.598
Cs Bi I
1 2 8
Cartesian
-2.357 0.568 -1.976 Cs
-2.956 -4.943 2.125 Bi
1.768 -4.756 -3.456 Bi
-4.235 -6.595 -6.703 I
-7.090 -6.709 -3.330 I
-1.783 -4.567 -1.662 I
-0.320 -4.177 -5.750 I
-5.582 -4.386 0.466 I
-4.120 -3.996 -3.622 I
1.188 -1.855 -1.954 I
-1.668 -1.968 1.419 I

=====

Cs2BiI, optimized geometry, DFT GGA-PBE; raw formation energy = -0.491 eV/atom; size of the total moment = 0.770 μB per formula unit; raw total energy = -2.28 eV/atom; polymorph energy (0 for the lowest one) = 57 kJ/mol of formula units
1.0
-9.359 1.127 -4.773
2.710 -7.383 -7.056
-4.848 -5.913 -3.586
Cs I Bi
4 2 2
Cartesian
-6.559 -1.717 -4.678 Cs
-0.851 -5.932 -5.986 Cs
-6.082 -6.910 -7.248 Cs
-9.500 -9.780 -12.917 Cs
-3.324 -3.128 -5.915 I
-2.731 -8.212 -8.278 I
0.000 0.000 0.000 Bi
-8.765 -3.957 -7.137 Bi

=====

Cs2BiI6, optimized geometry, DFT GGA-PBE; raw formation energy = -0.847 eV/atom; size of the total moment = 0.000 μB per formula unit; raw total energy = -2.50 eV/atom; polymorph energy (0 for the lowest one) = 0 kJ/mol of formula units
1.0
8.547 0.000 0.000
-4.274 7.402 0.000
0.000 0.000 13.926
Cs Bi I
4 2 12
Cartesian
0.000 0.000 8.760 Cs
0.000 0.000 1.797 Cs
0.000 4.935 12.172 Cs
4.274 2.467 5.209 Cs
0.000 4.935 3.520 Bi
4.274 2.467 10.483 Bi
0.000 7.402 1.733 I
2.137 3.701 8.696 I
6.410 3.701 8.696 I
-2.136 3.701 1.733 I
2.136 3.701 1.733 I
4.274 0.001 8.696 I
4.274 5.078 12.166 I
-2.261 6.240 5.203 I
2.261 6.240 5.203 I
2.013 1.162 12.166 I
6.535 1.162 12.166 I
0.000 2.324 5.203 I

=====

CsBiI3, optimized geometry, DFT GGA-PBE; raw formation energy = 0.218 eV/atom; size of the total moment = 1.000 μB per formula unit; raw total energy = -1.66 eV/atom; polymorph energy (0 for the lowest one) = 495 kJ/mol of formula units
1.0
-2.305 -5.287 4.188
-2.899 -3.220 -5.660
6.090 -3.534 -1.109
Cs I Bi
1 3 1
Cartesian
0.000 0.000 0.000 Cs
-1.450 -1.610 -2.830 I
3.045 -1.767 -0.555 I
-1.152 -2.643 2.094 I
0.443 -6.020 -1.290 Bi

=====

Cs5Bi2I12, optimized geometry, DFT GGA-PBE; raw formation energy = -0.930 eV/atom; size of the total moment = 1.112 μB per formula unit; raw total energy = -2.54 eV/atom; polymorph energy (0 for the lowest one) = 63 kJ/mol of formula units
1.0
-2.683 6.596 8.312
-9.267 -3.829 5.258
2.934 -4.689 9.878
Cs Bi I
5 2 12
Cartesian
-1.672 -1.910 4.059 Cs
-3.477 0.212 9.220 Cs
-1.341 3.298 4.156 Cs
-5.538 -2.135 14.228 Cs
-7.343 -0.013 19.389 Cs
-6.977 -3.991 6.125 Bi
0.644 -4.528 9.011 Bi
-2.939 4.509 8.600 I
-0.607 -2.008 7.858 I
-4.978 -1.700 6.202 I
-1.097 1.344 14.431 I
-8.539 1.869 11.613 I
-4.699 1.087 12.610 I
-4.316 -3.009 10.838 I
-7.918 -3.267 9.017 I
-0.476 -3.791 11.836 I
-8.408 0.085 15.590 I
-4.037 -0.223 17.246 I
-6.076 -6.432 14.848 I

=====

Cs2BiI5, optimized geometry, DFT GGA-PBE; raw formation energy = -1.007 eV/atom; size of the total moment = 0.000 μB per formula unit; raw total energy = -2.67 eV/atom; polymorph energy (0 for the lowest one) = 0 kJ/mol of formula units
1.0
9.126 0.000 0.000
0.000 9.126 0.000
-4.563 -4.563 5.381
Cs Bi I
2 1 5
Cartesian
0.001 4.563 2.789 Cs
4.563 0.000 2.789 Cs
4.563 4.563 5.237 Bi
6.947 2.179 0.135 I
2.179 2.179 0.134 I
6.947 6.947 0.135 I
2.179 6.947 0.135 I
4.563 4.563 2.384 I

=====

CsBi3I, optimized geometry, DFT GGA-PBE; raw formation energy = 1.278 eV/atom; size of the total moment = 0.000 μB per formula unit; raw total energy = -1.53 eV/atom; polymorph energy (0 for the lowest one) = 393 kJ/mol of formula units
1.0
6.435 0.000 0.000
0.000 6.435 0.000
0.000 0.000 6.435
Cs I Bi
1 1 3
Cartesian
0.000 0.000 0.000 Cs
3.218 3.218 3.218 I
0.000 3.218 0.000 Bi
0.000 0.000 3.218 Bi
3.218 0.000 0.000 Bi

=====

Cs3BiI, optimized geometry, DFT GGA-PBE; raw formation energy = -0.816 eV/atom; size of the total moment = 0.000 μB per formula unit; raw total energy = -2.41 eV/atom; polymorph energy (0 for the lowest one) = 0 kJ/mol of formula units
1.0
-4.410 2.709 -3.901
-5.212 -4.269 -2.462
-10.234 -0.948 10.924
Cs Bi I
6 2 2
Cartesian
-3.989 -0.818 0.876 Cs
-6.565 -1.387 -1.990 Cs
-11.274 -0.998 9.002 Cs
-10.558 0.984 4.186 Cs
-13.849 -1.566 6.135 Cs
-11.690 -0.668 -1.071 Cs
-9.756 -2.096 -4.261 Bi
-17.704 -1.847 4.909 Bi
-9.496 -2.521 5.930 I
-8.344 0.138 1.080 I

=====

Cs2BiI6, optimized geometry, DFT GGA-PBE; raw formation energy = -0.787 eV/atom; size of the total moment = 1.039 μB per formula unit; raw total energy = -2.44 eV/atom; polymorph energy (0 for the lowest one) = 52 kJ/mol of formula units
1.0
8.448 0.000 0.000
0.000 8.448 0.000
0.000 0.000 16.436
Cs Bi I
4 2 12
Cartesian
0.000 0.000 5.457 Cs
4.224 4.224 13.676 Cs
4.224 4.224 2.761 Cs
0.000 0.000 10.979 Cs
0.000 0.000 0.000 Bi
4.224 4.224 8.218 Bi
2.701 2.701 5.996 I
5.747 5.747 5.996 I
1.523 6.925 14.214 I
6.925 1.523 14.214 I
1.523 6.925 2.222 I
6.925 1.523 2.222 I
2.701 2.701 10.440 I
5.747 5.747 10.440 I
2.184 2.184 0.000 I
6.264 6.264 0.000 I
2.040 6.407 8.218 I
6.407 2.040 8.218 I

=====

Cs2BiI4, optimized geometry, DFT GGA-PBE; raw formation energy = -1.003 eV/atom; size of the total moment = 0.000 μB per formula unit; raw total energy = -2.69 eV/atom; polymorph energy (0 for the lowest one) = 0 kJ/mol of formula units
1.0
-4.555 4.489 0.619
-1.879 -2.670 5.534
9.324 4.633 1.672
Cs I Bi
2 4 1
Cartesian
-1.586 2.390 4.345 Cs
4.476 4.062 3.480 Cs
0.883 4.631 6.265 I
2.006 1.821 1.560 I
-0.940 -1.335 2.767 I
-2.278 2.245 0.310 I
0.000 0.000 0.000 Bi

=====

Cs3BiI6, optimized geometry, DFT GGA-PBE; raw formation energy = -1.075 eV/atom; size of the total moment = 0.000 μB per formula unit; raw total energy = -2.65 eV/atom; polymorph energy (0 for the lowest one) = 53 kJ/mol of formula units
1.0
-2.086 -1.864 9.063
6.910 -0.304 6.491
0.679 6.848 6.528
Cs Bi I
3 1 6
Cartesian
4.127 3.510 16.562 Cs
1.376 1.170 5.521 Cs
2.752 2.340 11.041 Cs
0.000 0.000 0.000 Bi
0.140 0.070 9.973 I
1.633 4.774 8.604 I
5.363 4.610 12.109 I
4.996 0.912 8.585 I
0.507 3.768 13.498 I
3.870 -0.094 13.478 I

=====

Cs3BiI6, optimized geometry, DFT GGA-PBE; raw formation energy = -1.130 eV/atom; size of the total moment = 0.000 μB per formula unit; raw total energy = -2.70 eV/atom; polymorph energy (0 for the lowest one) = 0 kJ/mol of formula units
1.0
-4.863 -3.699 6.726
-4.798 -5.445 -6.464
8.537 -9.447 1.622
Cs Bi I
6 2 12
Cartesian
-0.538 -14.152 -1.154 Cs
-4.831 -4.572 0.131 Cs
-0.586 -4.440 3.038 Cs
-0.723 -5.704 -3.103 Cs
4.269 -4.724 0.811 Cs
-0.401 -12.888 4.987 Cs
-0.562 -9.296 0.942 Bi
0.000 0.000 0.000 Bi
3.745 -12.598 5.280 I
0.573 -9.157 3.857 I
-2.840 -7.361 1.800 I
1.716 -11.231 0.084 I
-1.697 -9.434 -1.973 I
-4.869 -5.994 -3.396 I
1.186 -6.845 0.133 I
-1.409 -2.749 -0.512 I
5.736 -8.106 1.774 I
-6.860 -10.486 0.110 I
0.285 -15.843 2.397 I
-2.310 -11.747 1.752 I

=====

Cs2BiI, optimized geometry, DFT GGA-PBE; raw formation energy = -0.569 eV/atom; size of the total moment = 2.000 μB per formula unit; raw total energy = -2.35 eV/atom; polymorph energy (0 for the lowest one) = 27 kJ/mol of formula units
1.0
0.000 4.743 4.743
4.743 0.000 4.743
4.743 4.743 0.000
Cs I Bi
2 1 1
Cartesian
2.371 2.371 2.371 Cs
7.114 7.114 7.114 Cs
0.000 0.000 0.000 I
4.743 4.743 4.743 Bi

=====

Cs2Bi2I, optimized geometry, DFT GGA-PBE; raw formation energy = -0.416 eV/atom; size of the total moment = 0.000 μB per formula unit; raw total energy = -2.62 eV/atom; polymorph energy (0 for the lowest one) = 152 kJ/mol of formula units
1.0
-7.389 -8.419 -2.492
6.767 -7.536 5.394
-1.881 0.674 3.302
Cs I Bi
4 2 4
Cartesian
3.201 -8.456 3.550 Cs
-1.087 -12.005 1.831 Cs
-3.823 -7.499 -0.648 Cs
0.465 -3.950 1.071 Cs
0.000 0.000 0.000 I
-0.311 -7.977 1.451 I
2.388 -4.830 4.602 Bi
0.891 -11.486 5.107 Bi
-4.892 -10.451 1.601 Bi
-3.394 -3.795 1.096 Bi

=====

Cs4BiI, optimized geometry, DFT GGA-PBE; raw formation energy = -0.722 eV/atom; size of the total moment = 0.000 μB per formula unit; raw total energy = -2.20 eV/atom
1.0
8.756 0.114 -3.007
-3.711 8.746 -4.117
-0.167 -0.125 10.583
Cs Bi I
8 2 2
Cartesian
7.632 2.290 5.449 Cs
3.937 6.064 1.690 Cs
0.989 5.523 5.696 Cs
-0.237 8.283 1.730 Cs
5.115 0.452 1.728 Cs
3.888 3.212 -2.238 Cs
0.941 2.671 1.768 Cs
-2.754 6.444 -1.991 Cs
0.974 5.572 -0.901 Bi
3.904 3.163 4.360 Bi
-1.791 8.463 5.410 I
6.669 0.272 -1.951 I

=====

Cs2BiI5, optimized geometry, DFT GGA-PBE; raw formation energy = -0.995 eV/atom; size of the total moment = 0.000 μB per formula unit; raw total energy = -2.66 eV/atom; polymorph energy (0 for the lowest one) = 9 kJ/mol of formula units
1.0
-5.983 4.760 -1.367
-2.236 -8.399 2.468
4.893 2.108 7.862
Cs Bi I
2 1 5
Cartesian
-3.744 -2.681 3.132 Cs
-0.783 1.889 6.076 Cs
-0.653 0.404 0.122 Bi
-1.043 -5.576 3.270 I
-0.427 -0.543 3.006 I
-2.261 -1.731 6.644 I
2.486 0.021 7.313 I
-2.960 2.225 -0.366 I

=====

CsBiI3, optimized geometry, DFT GGA-PBE; raw formation energy = -0.715 eV/atom; size of the total moment = 0.000 μB per formula unit; raw total energy = -2.59 eV/atom; polymorph energy (0 for the lowest one) = 45 kJ/mol of formula units
1.0
-5.790 0.011 -1.755
-2.345 -6.349 7.601
-2.082 5.170 8.043
Cs Bi I
2 2 6
Cartesian
-7.382 2.039 4.707 Cs
-4.968 -3.726 5.855 Cs
-7.751 -0.697 9.361 Bi
-4.593 -0.982 1.198 Bi
-5.414 1.764 8.327 I
-9.012 1.728 10.275 I
-4.055 -0.199 4.136 I
-6.461 -1.961 11.811 I
-5.885 0.279 -1.253 I
-2.501 -1.494 8.179 I

=====

CsBi2I, optimized geometry, DFT GGA-PBE; raw formation energy = -0.331 eV/atom; size of the total moment = 0.000 μB per formula unit; raw total energy = -2.87 eV/atom; polymorph energy (0 for the lowest one) = 0 kJ/mol of formula units
1.0
5.009 0.000 0.000
0.000 5.009 0.000
2.504 2.504 17.426
Cs I Bi
2 2 4
Cartesian
0.000 0.000 0.000 Cs
5.009 2.504 8.713 Cs
2.504 2.504 0.000 I
2.504 5.009 8.713 I
1.632 1.252 4.356 Bi
3.377 3.757 4.356 Bi
3.757 5.881 13.069 Bi
6.261 4.136 13.069 Bi